Record 1
# ErNi4Pb

ErNi4Pb after structural relaxation (PBE, Alexandria).

Unit cell a=7.112 b=7.112 c=7.112 alpha=90.00 beta=90.00 gamma=90.00
Space group F-43m (No. 216)
Inequivalent atoms, fractional coordinates:
Er 0.000 0.000 0.000 [4 per cell]
Ni 0.125 0.125 0.625 [16 per cell]
Pb 0.250 0.250 0.250 [4 per cell]

Computed properties:
E (hartree per atom): -0.2020
Calculated density (Mg/m³): 11.25
Calculated volume (Å³/f.u.): 89.9
Total magnetic moment (μB per formula unit): 0.000
Energy relative to the elements (meV per atom): -265

=====

Record 2
# TiVW3

TiVW3 after structural relaxation (PBE, Alexandria).

Unit cell a=15.661 b=3.086 c=7.143 alpha=90.00 beta=107.17 gamma=90.00
Space group C2/m (No. 12)
Inequivalent atoms, fractional coordinates:
Ti 0.120 0.000 0.160 [4 per cell]
V 0.091 0.500 0.461 [4 per cell]
W 0.039 0.000 0.723 [4 per cell]
W 0.182 0.500 0.900 [4 per cell]
W 0.229 0.000 0.636 [4 per cell]

Computed properties:
E (hartree per atom): -0.4039
Calculated density (Mg/m³): 13.10
Calculated volume (Å³/f.u.): 82.5
Energy above the lowest structure with this stoichiometry (eV per formula unit): 0.275
Total magnetic moment (μB per formula unit): 0.000
Energy relative to the elements (meV per atom): 184

=====

Record 3
# SrBiF2

SrBiF2 after structural relaxation (PBE, Alexandria).

Unit cell a=6.614 b=6.614 c=9.988 alpha=90.00 beta=90.00 gamma=90.00
Space group I-42d (No. 122)
Inequivalent atoms, fractional coordinates:
Sr 0.000 0.000 0.000 [4 per cell]
Bi 0.000 0.000 0.500 [4 per cell]
F 0.148 0.250 0.125 [8 per cell]

Computed properties:
E (hartree per atom): -0.1671
Calculated density (Mg/m³): 5.09
Calculated volume (Å³/f.u.): 109.2
Energy above the lowest structure with this stoichiometry (eV per formula unit): 1.350
Formation energy (no corrections) (kJ per mole of atoms): -214.25
Total magnetic moment (μB per formula unit): 0.000

=====

Record 4
# ZnBN2

ZnBN2 after structural relaxation (PBE, Alexandria).

Unit cell a=5.109 b=5.109 c=5.109 alpha=90.00 beta=90.00 gamma=90.00
Space group Fm-3m (No. 225)
Inequivalent atoms, fractional coordinates:
Zn 0.000 0.000 0.000 [4 per cell]
B 0.000 0.000 0.500 [4 per cell]
N 0.250 0.250 0.250 [8 per cell]

Computed properties:
E (hartree per atom): -0.1509
Calculated density (Mg/m³): 5.19
Calculated volume (Å³/f.u.): 33.3
Energy above the lowest structure with this stoichiometry (eV per formula unit): 8.866
Formation energy (no corrections) (kJ per mole of atoms): 197.30
Total magnetic moment (μB per formula unit): 0.000

=====

Record 5
# TaFeC3

TaFeC3 after structural relaxation (PBE, Alexandria).

Unit cell a=3.694 b=3.694 c=3.694 alpha=90.00 beta=90.00 gamma=90.00
Space group Pm-3m (No. 221)
Inequivalent atoms, fractional coordinates:
Ta 0.000 0.000 0.000 [1 per cell]
Fe 0.500 0.500 0.500 [1 per cell]
C 0.000 0.500 0.500 [3 per cell]

Computed properties:
E (hartree per atom): -0.2916
Calculated density (Mg/m³): 8.99
Calculated volume (Å³/f.u.): 50.4
Energy above the lowest structure with this stoichiometry (eV per formula unit): 0.000
Total magnetic moment (μB per formula unit): 2.224
Energy relative to the elements (meV per atom): 1661

=====

Record 6
# LiTiNi4

LiTiNi4 after structural relaxation (PBE, Alexandria).

Unit cell a=6.650 b=6.650 c=6.650 alpha=90.00 beta=90.00 gamma=90.00
Space group F-43m (No. 216)
Inequivalent atoms, fractional coordinates:
Li 0.000 0.000 0.000 [4 per cell]
Ti 0.250 0.250 0.250 [4 per cell]
Ni 0.125 0.125 0.625 [16 per cell]

Computed properties:
E (hartree per atom): -0.2107
Calculated density (Mg/m³): 6.54
Calculated volume (Å³/f.u.): 73.5
Total magnetic moment (μB per formula unit): 0.000
Energy relative to the elements (meV per atom): -243

=====

Record 7
# Np2SbF

Np2SbF after structural relaxation (PBE, Alexandria).

Unit cell a=3.1484 b=3.1484 c=28.6940 alpha=90.00 beta=90.00 gamma=120.00
Space group R-3m (No. 166, hexagonal axes)
Inequivalent atoms, fractional coordinates:
Np 0.0000 0.0000 0.2387 [6 per cell]
Sb 0.0000 0.0000 0.0000 [3 per cell]
F 0.0000 0.0000 0.5000 [3 per cell]

Computed properties:
E (hartree per atom): -0.3196
Calculated density (Mg/m³): 12.43
Calculated volume (Å³/f.u.): 82.1
Formation energy (no corrections) (kJ per mole of atoms): -70.20
Total magnetic moment (μB per formula unit): 8.388

=====

Record 8
# RbLiSCl2

RbLiSCl2 after structural relaxation (PBE, Alexandria).

Unit cell a=6.172 b=6.172 c=6.010 alpha=90.00 beta=90.00 gamma=90.00
Space group P4/mmm (No. 123)
Inequivalent atoms, fractional coordinates:
Rb 0.000 0.000 0.000 [1 per cell]
Li 0.500 0.500 0.500 [1 per cell]
S 0.000 0.000 0.500 [1 per cell]
Cl 0.000 0.500 0.000 [2 per cell]

Computed properties:
E (hartree per atom): -0.0892
Calculated density (Mg/m³): 1.42
Calculated volume (Å³/f.u.): 228.9
Energy above the lowest structure with this stoichiometry (eV per formula unit): 3.159
Formation energy (no corrections) (kJ per mole of atoms): -27.62
Total magnetic moment (μB per formula unit): 2.063

=====

Record 9
# MoPt2Au

MoPt2Au after structural relaxation (PBE, Alexandria).

Unit cell a=6.390 b=6.390 c=6.390 alpha=90.00 beta=90.00 gamma=90.00
Space group F-43m (No. 216)
Inequivalent atoms, fractional coordinates:
Mo 0.000 0.000 0.000 [4 per cell]
Pt 0.000 0.000 0.500 [4 per cell]
Pt 0.250 0.250 0.250 [4 per cell]
Au 0.250 0.250 0.750 [4 per cell]

Computed properties:
E (hartree per atom): -0.2362
Calculated density (Mg/m³): 17.39
Calculated volume (Å³/f.u.): 65.2
Energy above the lowest structure with this stoichiometry (eV per formula unit): 1.409
Total magnetic moment (μB per formula unit): 0.000
Energy relative to the elements (meV per atom): 120

=====

Record 10
# Nb2ZnCr

Nb2ZnCr after structural relaxation (PBE, Alexandria).

Unit cell a=3.0228 b=3.0228 c=25.0488 alpha=90.00 beta=90.00 gamma=120.00
Space group R-3m (No. 166, hexagonal axes)
Inequivalent atoms, fractional coordinates:
Nb 0.0000 0.0000 0.2422 [6 per cell]
Zn 0.0000 0.0000 0.0000 [3 per cell]
Cr 0.0000 0.0000 0.5000 [3 per cell]

Computed properties:
E (hartree per atom): -0.2753
Calculated density (Mg/m³): 7.62
Calculated volume (Å³/f.u.): 66.1
Total magnetic moment (μB per formula unit): 0.000
Energy relative to the elements (meV per atom): 268

=====

Record 11
# K6Na2HgH

K6Na2HgH after structural relaxation (PBE, Alexandria).

Unit cell a=12.524 b=12.567 c=8.851 alpha=90.00 beta=134.83 gamma=90.00
Space group Cm (No. 8)
Inequivalent atoms, fractional coordinates:
K 0.000 0.000 0.000 [2 per cell]
K 0.000 0.000 0.461 [2 per cell]
K 0.039 0.500 0.538 [2 per cell]
K 0.040 0.500 0.000 [2 per cell]
K 0.270 0.269 0.000 [4 per cell]
Na 0.270 0.249 0.501 [4 per cell]
Hg 0.269 0.000 0.999 [2 per cell]
H 0.270 0.500 0.000 [2 per cell]

Computed properties:
E (hartree per atom): -0.0480
Calculated density (Mg/m³): 1.62
Calculated volume (Å³/f.u.): 493.9
Total magnetic moment (μB per formula unit): 0.001

=====

Record 12
# GdTl2

GdTl2 after structural relaxation (PBE, Alexandria).

Unit cell a=4.961 b=5.549 c=12.345 alpha=90.00 beta=90.00 gamma=90.00
Space group Fmmm (No. 69)
Inequivalent atoms, fractional coordinates:
Gd 0.000 0.000 0.000 [4 per cell]
Tl 0.000 0.000 0.329 [8 per cell]

Computed properties:
E (hartree per atom): -0.2373
Calculated density (Mg/m³): 11.06
Calculated volume (Å³/f.u.): 85.0
Total magnetic moment (μB per formula unit): 7.760
Energy relative to the elements (meV per atom): -185

=====

What did the first record say?
# ErNi4Pb

ErNi4Pb after structural relaxation (PBE, Alexandria).

Unit cell a=7.112 b=7.112 c=7.112 alpha=90.00 beta=90.00 gamma=90.00
Space group F-43m (No. 216)
Inequivalent atoms, fractional coordinates:
Er 0.000 0.000 0.000 [4 per cell]
Ni 0.125 0.125 0.625 [16 per cell]
Pb 0.250 0.250 0.250 [4 per cell]

Computed properties:
E (hartree per atom): -0.2020
Calculated density (Mg/m³): 11.25
Calculated volume (Å³/f.u.): 89.9
Total magnetic moment (μB per formula unit): 0.000
Energy relative to the elements (meV per atom): -265

=====

Repeat the fourth record exactly.
# ZnBN2

ZnBN2 after structural relaxation (PBE, Alexandria).

Unit cell a=5.109 b=5.109 c=5.109 alpha=90.00 beta=90.00 gamma=90.00
Space group Fm-3m (No. 225)
Inequivalent atoms, fractional coordinates:
Zn 0.000 0.000 0.000 [4 per cell]
B 0.000 0.000 0.500 [4 per cell]
N 0.250 0.250 0.250 [8 per cell]

Computed properties:
E (hartree per atom): -0.1509
Calculated density (Mg/m³): 5.19
Calculated volume (Å³/f.u.): 33.3
Energy above the lowest structure with this stoichiometry (eV per formula unit): 8.866
Formation energy (no corrections) (kJ per mole of atoms): 197.30
Total magnetic moment (μB per formula unit): 0.000

=====

Look up the calculated volume of the ninth one.
65.2 Å³/f.u.